Here is TlHg2PW after structural relaxation from the Alexandria database. Energies are from PBE-GGA.

Geometry as POSCAR:
```
TlHg2PW
1.0
-2.979 -3.771 -2.142
-1.216 -1.441 4.228
-4.111 3.283 -0.063
Hg Tl W P
2 1 1 1
Direct
0.000 0.000 0.500 Hg
0.500 0.000 0.000 Hg
0.500 0.500 0.500 Tl
0.000 0.500 0.000 W
0.000 0.000 0.000 P
```

space-group type: P4/mmm
theoretical density: 10.63 g/cm³
formation energy: 843 meV/atom